The following is a GGA-PBE calculation of an optimized crystal structure of BeMo2Br, from Alexandria.

abc: 3.1881 3.1881 6.1919
angles: 90.00 90.00 90.00
Last column: nearest neighbours and their distance in Å.
Atoms (fractional coordinates):
Be (0.0000, 0.0000, 0.4331)  5 Mo 2.42-2.43
Mo (0.0000, 0.0000, 0.0431)  1 Be 2.42
Mo (0.5000, 0.5000, 0.2879)  4 Be 2.43, 4 Mo 2.72
Br (0.5000, 0.5000, 0.7359)  5 Mo 2.77-2.95, 4 Be 2.93

Calculated values
* offset from the most stable computed form: 46.2 meV/atom
* SG: No. 99
* ρ: 7.41 g/cm3
* total moment: 0.00 μB per formula unit
* energy relative to the elements, uncorrected: 0.3602 eV per atom